1.
A relaxed structure of Ca4PrMg5, computed with PBE-GGA.

SG = P4/mmm (123)
VASP energy = -2.1603 eV/atom
density = 2.3 g cm⁻³
formation enthalpy at 0 K = -84.5 meV per atom

a b c (Å): 3.940 3.940 19.935
angles (deg): 90.00 90.00 90.00
Element x y z (fractional)
1 Ca 0.000 0.000 0.101
2 Ca 0.000 0.000 0.302
3 Ca 0.000 0.000 0.698
4 Ca 0.000 0.000 0.899
5 Pr 0.000 0.000 0.500
6 Mg 0.500 0.500 0.000
7 Mg 0.500 0.500 0.201
8 Mg 0.500 0.500 0.402
9 Mg 0.500 0.500 0.598
10 Mg 0.500 0.500 0.799

2.
A relaxed structure of CaPrMgRu, computed with PBE-GGA.

SG = F-43m (216)
VASP energy = -4.3548 eV/atom
density = 5.3 g cm⁻³
formation enthalpy at 0 K = 58.1 meV per atom

a b c (Å): 5.152 5.152 5.152
angles (deg): 60.00 60.00 60.00
Element x y z (fractional)
1 Ca 0.000 0.000 0.000
2 Pr 0.500 0.500 0.500
3 Mg 0.250 0.250 0.250
4 Ru 0.750 0.750 0.750

3.
A relaxed structure of Ca2PrMg2Sn2, computed with PBE-GGA.

SG = R-3m (166)
VASP energy = -3.2728 eV/atom
density = 4.3 g cm⁻³
formation enthalpy at 0 K = -418.9 meV per atom

a b c (Å): 9.514 9.514 9.514
angles (deg): 30.53 30.53 30.53
Element x y z (fractional)
1 Ca 0.134 0.134 0.134
2 Ca 0.866 0.866 0.866
3 Pr 0.000 0.000 0.000
4 Mg 0.411 0.411 0.411
5 Mg 0.589 0.589 0.589
6 Sn 0.262 0.262 0.262
7 Sn 0.738 0.738 0.738

Question: Which of these has the highest VASP energy?
Answer: Ca4PrMg5